Material: Ac5Ir2Pb2
Method: DFT, PBE
State: relaxed

E above lowest polymorph: 0.000 eV per atom
symmetry: No. 64
energy of formation: -0.529 eV per atom

Structure (POSCAR):
```
Ac5Ir2Pb2
1.0
7.997 0.000 0.000
0.000 7.950 -4.087
0.000 -0.092 9.597
Ac Ir Pb
10 4 4
direct
0.000 0.000 0.000 Ac
0.500 0.500 0.000 Ac
0.847 0.791 0.236 Ac
0.153 0.444 0.236 Ac
0.347 0.944 0.236 Ac
0.653 0.291 0.236 Ac
0.153 0.209 0.764 Ac
0.847 0.556 0.764 Ac
0.653 0.056 0.764 Ac
0.347 0.709 0.764 Ac
0.641 0.874 0.000 Ir
0.359 0.126 0.000 Ir
0.141 0.626 0.000 Ir
0.859 0.374 0.000 Ir
0.000 0.213 0.426 Pb
0.500 0.713 0.426 Pb
0.000 0.787 0.574 Pb
0.500 0.287 0.574 Pb
```


Material: La2AgRh
Method: DFT, PBE
State: relaxed

symmetry: No. 122
energy of formation: -0.251 eV per atom

Structure (POSCAR):
```
La2AgRh
1.0
-4.574 -5.966 2.744
5.928 -5.190 -1.403
1.871 -5.058 3.792
Rh Ag La
2 2 4
direct
0.500 0.500 0.000 Rh
0.250 0.750 0.500 Rh
0.000 0.000 0.000 Ag
0.750 0.250 0.500 Ag
0.588 0.125 0.250 La
0.162 0.625 0.250 La
0.375 0.412 0.750 La
0.875 0.838 0.750 La
```


Material: Ta2HF
Method: DFT, PBE
State: relaxed

E above lowest polymorph: 0.827 eV per atom
symmetry: No. 225

Structure (POSCAR):
```
Ta2HF
1.0
0.000 2.926 2.926
2.926 0.000 2.926
2.926 2.926 0.000
H F Ta
1 1 2
direct
0.000 0.000 0.000 H
0.500 0.500 0.500 F
0.250 0.250 0.250 Ta
0.750 0.750 0.750 Ta
```


Material: Tl2CuReSb
Method: DFT, PBE
State: relaxed

symmetry: No. 123
formation energy from raw total energies: 1283 meV per atom

Structure (POSCAR):
```
Tl2CuReSb
1.0
5.076 0.000 0.000
0.000 5.131 0.000
0.000 0.000 5.076
Re Tl Cu Sb
1 2 1 1
direct
0.500 0.500 0.500 Re
0.000 0.000 0.500 Tl
0.500 0.000 0.000 Tl
0.000 0.000 0.000 Cu
0.000 0.500 0.000 Sb
```


Material: Ce4ErOs4
Method: DFT, PBE
State: relaxed

symmetry: No. 137
energy of formation: 0.090 eV per atom

Structure (POSCAR):
```
Ce4ErOs4
1.0
6.999 0.000 0.000
0.000 6.999 0.000
0.000 0.000 8.914
Ce Er Os
8 2 8
direct
0.246 0.500 0.860 Ce
0.754 0.500 0.860 Ce
0.500 0.754 0.140 Ce
0.500 0.246 0.140 Ce
0.000 0.746 0.360 Ce
0.000 0.254 0.360 Ce
0.254 0.000 0.640 Ce
0.746 0.000 0.640 Ce
0.000 0.000 0.000 Er
0.500 0.500 0.500 Er
0.500 0.804 0.833 Os
0.500 0.196 0.833 Os
0.804 0.500 0.167 Os
0.196 0.500 0.167 Os
0.304 0.000 0.333 Os
0.696 0.000 0.333 Os
0.000 0.304 0.667 Os
0.000 0.696 0.667 Os
```


Material: ThZn3Ag2
Method: DFT, PBE
State: relaxed

symmetry: No. 63
energy of formation: -0.109 eV per atom

Structure (POSCAR):
```
ThZn3Ag2
1.0
5.734 0.000 0.000
0.000 6.326 -1.168
0.000 0.143 6.432
Th Zn Ag
2 6 4
direct
0.250 0.339 0.339 Th
0.750 0.661 0.661 Th
0.750 0.432 0.136 Zn
0.750 0.136 0.432 Zn
0.250 0.568 0.864 Zn
0.750 0.038 0.038 Zn
0.250 0.962 0.962 Zn
0.250 0.864 0.568 Zn
0.500 0.774 0.226 Ag
0.000 0.774 0.226 Ag
0.000 0.226 0.774 Ag
0.500 0.226 0.774 Ag
```


Material: TaMo2Se
Method: DFT, PBE
State: relaxed

symmetry: No. 99
formation energy from raw total energies: 65 meV per atom

Structure (POSCAR):
```
TaMo2Se
1.0
-0.684 2.475 1.888
-2.814 -1.318 0.709
2.764 -3.146 5.124
Mo Se Ta
2 1 1
direct
0.000 0.000 0.015 Mo
0.500 0.500 0.226 Mo
0.000 0.000 0.515 Se
0.500 0.500 0.744 Ta
```


Material: Sc5UN6
Method: DFT, PBE
State: relaxed

symmetry: No. 12
formation energy from raw total energies: -1823 meV per atom

Structure (POSCAR):
```
Sc5UN6
1.0
5.546 0.128 0.839
1.355 4.705 2.742
0.089 0.049 5.615
Sc U N
5 1 6
direct
0.500 0.170 0.660 Sc
0.000 0.334 0.332 Sc
0.500 0.500 0.000 Sc
0.000 0.666 0.668 Sc
0.500 0.830 0.340 Sc
0.000 0.000 0.000 U
0.750 0.083 0.328 N
0.250 0.589 0.328 N
0.245 0.245 0.000 N
0.755 0.755 0.000 N
0.750 0.411 0.672 N
0.250 0.917 0.672 N
```


Material: RuRhS2
Method: DFT, PBE
State: relaxed

E above lowest polymorph: 0.000 eV per atom
symmetry: No. 122
formation energy from raw total energies: -203 meV per atom

Structure (POSCAR):
```
RuRhS2
1.0
5.261 0.000 0.000
0.000 5.261 0.000
2.630 2.630 5.226
Ru S Rh
2 4 2
direct
0.500 0.500 0.000 Ru
0.250 0.750 0.500 Ru
0.618 0.125 0.250 S
0.132 0.625 0.250 S
0.375 0.382 0.750 S
0.875 0.868 0.750 S
0.000 0.000 0.000 Rh
0.750 0.250 0.500 Rh
```


Material: ZrOsC3
Method: DFT, PBE
State: relaxed

E above lowest polymorph: 1.642 eV per atom
symmetry: No. 221
energy of formation: 2.947 eV per atom

Structure (POSCAR):
```
ZrOsC3
1.0
4.159 0.000 0.000
0.000 4.159 0.000
0.000 0.000 4.159
C Os Zr
3 1 1
direct
0.000 0.500 0.000 C
0.000 0.000 0.500 C
0.500 0.000 0.000 C
0.500 0.500 0.500 Os
0.000 0.000 0.000 Zr
```


Material: Cs2SiICl5
Method: DFT, PBE
State: relaxed

symmetry: No. 107
formation energy from raw total energies: -1410 meV per atom

Structure (POSCAR):
```
Cs2SiICl5
1.0
-1.124 2.275 -7.140
3.609 -6.560 1.170
-6.007 -2.155 4.087
Cs Si I Cl
2 1 1 5
direct
0.500 0.254 0.754 Cs
0.500 0.754 0.254 Cs
0.000 0.009 0.009 Si
0.000 0.746 0.746 I
0.408 0.208 0.208 Cl
0.592 0.800 0.800 Cl
0.000 0.800 0.208 Cl
0.000 0.208 0.800 Cl
0.000 0.221 0.221 Cl
```


Material: LiNiS6
Method: DFT, PBE
State: relaxed

symmetry: No. 2
formation energy from raw total energies: -261 meV per atom

Structure (POSCAR):
```
LiNiS6
1.0
-3.135 -3.884 -4.372
0.802 -8.333 -4.382
-3.852 -3.488 1.605
Li Ni S
1 1 6
direct
0.500 0.500 0.500 Li
0.000 0.000 0.000 Ni
0.188 0.894 0.580 S
0.454 0.316 0.009 S
0.885 0.449 0.665 S
0.546 0.684 0.991 S
0.812 0.106 0.420 S
0.115 0.551 0.335 S
```


Material: Cs2InPdF6
Method: DFT, PBE
State: relaxed

symmetry: No. 139
formation energy from raw total energies: -2255 meV per atom

Structure (POSCAR):
```
Cs2InPdF6
1.0
6.210 0.000 0.000
0.000 6.210 0.000
3.105 3.105 5.169
Cs F Pd In
2 6 1 1
direct
0.750 0.250 0.500 Cs
0.250 0.750 0.500 Cs
0.201 0.201 0.597 F
0.799 0.799 0.403 F
0.243 0.243 0.000 F
0.757 0.757 0.000 F
0.757 0.243 0.000 F
0.243 0.757 0.000 F
0.500 0.500 0.000 Pd
0.000 0.000 0.000 In
```


Material: KY4Mg
Method: DFT, PBE
State: relaxed

symmetry: No. 216
energy of formation: 0.457 eV per atom

Structure (POSCAR):
```
KY4Mg
1.0
-6.533 -1.527 0.714
-4.436 1.858 -4.732
-2.832 -4.652 -3.982
K Y Mg
1 4 1
direct
0.750 0.750 0.750 K
0.881 0.373 0.373 Y
0.373 0.373 0.881 Y
0.373 0.881 0.373 Y
0.373 0.373 0.373 Y
0.000 0.000 0.000 Mg
```


Material: LiInPd14
Method: DFT, PBE
State: relaxed

symmetry: No. 38
energy of formation: -0.160 eV per atom

Structure (POSCAR):
```
LiInPd14
1.0
5.557 -0.309 0.000
-2.462 4.991 0.000
0.000 0.000 9.182
Li In Pd
1 1 14
direct
0.045 0.955 0.500 Li
0.545 0.455 0.500 In
0.207 0.793 0.000 Pd
0.707 0.293 0.000 Pd
0.045 0.455 0.500 Pd
0.206 0.293 0.000 Pd
0.545 0.955 0.500 Pd
0.707 0.794 0.000 Pd
0.372 0.124 0.748 Pd
0.372 0.124 0.252 Pd
0.876 0.628 0.748 Pd
0.876 0.628 0.252 Pd
0.374 0.626 0.750 Pd
0.374 0.626 0.250 Pd
0.875 0.125 0.748 Pd
0.875 0.125 0.252 Pd
```


Material: ThGa2As
Method: DFT, PBE
State: relaxed

symmetry: No. 123
energy of formation: -0.606 eV per atom

Structure (POSCAR):
```
ThGa2As
1.0
-2.792 2.307 2.908
-2.879 -3.194 -0.229
1.886 -1.940 3.350
As Ga Th
1 2 1
direct
0.500 0.500 0.500 As
0.000 0.000 0.500 Ga
0.000 0.500 0.000 Ga
0.500 0.000 0.000 Th
```


Material: PuHf6Sc8
Method: DFT, PBE
State: relaxed

symmetry: No. 147
energy of formation: 0.187 eV per atom

Structure (POSCAR):
```
PuHf6Sc8
1.0
-0.892 -2.921 -4.236
-1.675 -6.891 5.103
-6.475 5.377 -2.343
Pu Hf Sc
1 6 8
direct
0.500 0.000 0.000 Pu
0.740 0.617 0.099 Hf
0.740 0.901 0.519 Hf
0.740 0.481 0.383 Hf
0.260 0.383 0.901 Hf
0.260 0.099 0.481 Hf
0.260 0.519 0.617 Hf
0.776 0.053 0.270 Sc
0.776 0.730 0.783 Sc
0.776 0.217 0.947 Sc
0.224 0.947 0.730 Sc
0.224 0.270 0.217 Sc
0.224 0.783 0.053 Sc
0.765 0.333 0.667 Sc
0.235 0.667 0.333 Sc
```


Material: YSc2Se
Method: DFT, PBE
State: relaxed

symmetry: No. 166
formation energy from raw total energies: -726 meV per atom

Structure (POSCAR):
```
YSc2Se
1.0
9.237 -0.003 -0.002
8.534 3.536 -0.002
8.534 1.696 3.102
Sc Se Y
2 1 1
direct
0.980 0.980 0.980 Sc
0.520 0.520 0.520 Sc
0.250 0.250 0.250 Se
0.750 0.750 0.750 Y
```


Material: TaAlHg
Method: DFT, PBE
State: relaxed

E above lowest polymorph: 0.026 eV per atom
symmetry: No. 156
energy of formation: 0.170 eV per atom

Structure (POSCAR):
```
TaAlHg
1.0
-1.212 -0.112 2.751
2.675 -1.275 -0.518
3.269 6.169 1.692
Al Hg Ta
1 1 1
direct
0.000 0.000 0.990 Al
0.333 0.667 0.329 Hg
0.667 0.333 0.680 Ta
```


Material: KNa7Sn3
Method: DFT, PBE
State: relaxed

symmetry: No. 12
energy of formation: -0.038 eV per atom

Structure (POSCAR):
```
KNa7Sn3
1.0
5.836 -0.103 -0.132
-2.799 7.899 0.675
-2.799 -1.260 7.827
K Na Sn
1 7 3
direct
0.500 0.500 0.500 K
0.154 0.152 0.152 Na
0.308 0.010 0.607 Na
0.692 0.393 0.990 Na
0.308 0.607 0.010 Na
0.000 0.500 0.500 Na
0.692 0.990 0.393 Na
0.846 0.848 0.848 Na
0.000 0.765 0.235 Sn
0.500 0.000 0.000 Sn
0.000 0.235 0.765 Sn
```


Material: Cu4SiSb
Method: DFT, PBE
State: relaxed

symmetry: No. 216
formation energy from raw total energies: 180 meV per atom

Structure (POSCAR):
```
Cu4SiSb
1.0
0.000 3.536 3.536
3.536 0.000 3.536
3.536 3.536 0.000
Cu Si Sb
4 1 1
direct
0.626 0.626 0.123 Cu
0.626 0.123 0.626 Cu
0.626 0.626 0.626 Cu
0.123 0.626 0.626 Cu
0.000 0.000 0.000 Si
0.250 0.250 0.250 Sb
```


Material: SrTbPb2Se4
Method: DFT, PBE
State: relaxed

symmetry: No. 10
formation energy from raw total energies: -1187 meV per atom

Structure (POSCAR):
```
SrTbPb2Se4
1.0
-2.473 1.365 3.078
-6.010 -0.557 -4.580
-2.686 -7.276 1.069
Sr Tb Pb Se
1 1 2 4
direct
0.500 0.500 0.000 Sr
0.000 0.500 0.500 Tb
0.000 0.000 0.000 Pb
0.500 0.000 0.500 Pb
0.000 0.743 0.741 Se
0.000 0.257 0.259 Se
0.500 0.714 0.289 Se
0.500 0.286 0.711 Se
```


Material: Dy3ErTmTh
Method: DFT, PBE
State: relaxed

symmetry: No. 12
energy of formation: 0.192 eV per atom

Structure (POSCAR):
```
Dy3ErTmTh
1.0
-2.603 -4.271 -2.050
10.524 -1.193 -3.748
2.450 -3.849 4.909
Dy Er Tm Th
6 2 2 2
direct
0.836 0.671 0.260 Dy
0.776 0.551 0.806 Dy
0.473 0.946 0.272 Dy
0.224 0.449 0.194 Dy
0.527 0.054 0.728 Dy
0.164 0.329 0.740 Dy
0.368 0.736 0.957 Er
0.632 0.264 0.043 Er
0.669 0.339 0.478 Tm
0.331 0.661 0.522 Tm
0.067 0.135 0.327 Th
0.933 0.865 0.673 Th
```


Material: YTa2PS
Method: DFT, PBE
State: relaxed

symmetry: No. 123
formation energy from raw total energies: 259 meV per atom

Structure (POSCAR):
```
YTa2PS
1.0
4.566 0.000 0.000
0.000 5.408 0.000
0.000 0.000 4.566
Y P S Ta
1 1 1 2
direct
0.000 0.500 0.000 Y
0.000 0.000 0.000 P
0.500 0.500 0.500 S
0.000 0.000 0.500 Ta
0.500 0.000 0.000 Ta
```


no.,calculated density (Mg/m³)
1,10.58
2,7.49
3,12.65
4,9.80
5,11.32
6,9.13
7,11.16
8,6.28
9,6.16
10,7.33
11,3.16
12,2.36
13,5.01
14,3.20
15,10.80
16,8.61
17,8.05
18,4.22
19,12.05
20,2.56
21,7.59
22,6.77
23,9.00
24,7.57